--- one ---
The following is a DFT calculation (PBE) of a relaxed Sr2HfRh2 crystal.

Cell and atoms, written as extended XYZ:
```
5
Lattice="5.577 0.000 0.000 0.000 5.577 0.000 0.000 0.000 4.803" Properties=species:S:1:pos:R:3 pbc="T T T"
Sr 0.000 2.788 0.000
Sr 2.788 0.000 0.000
Hf 0.000 0.000 2.401
Rh 2.788 2.788 0.000
Rh 2.788 2.788 2.401
```

Computed properties:
**Total magnetization**: 1.15 Bohr magnetons per cell
**Volume**: 149 Å³/f.u.

--- two ---
The following is a DFT calculation (PBE) of a relaxed Sr2HfRh2 crystal.

Cell and atoms, written as extended XYZ:
```
10
Lattice="7.007 0.000 0.000 0.000 7.007 0.000 0.000 0.000 5.016" Properties=species:S:1:pos:R:3 pbc="T T T"
Sr 1.219 2.285 0.000
Sr 2.285 5.788 0.000
Sr 4.723 1.219 0.000
Sr 5.788 4.723 0.000
Hf 0.000 0.000 2.508
Hf 3.504 3.504 2.508
Rh 0.935 4.439 2.508
Rh 2.569 0.935 2.508
Rh 4.439 6.072 2.508
Rh 6.072 2.569 2.508
```

Computed properties:
**Total magnetization**: 0.00 Bohr magnetons per cell
**Volume**: 123 Å³/f.u.

Most stable structure, least stable structure: two, one.

--- one ---
The following is a DFT calculation (PBE) of a relaxed SrHf3Rh crystal.

Cell and atoms, written as extended XYZ:
```
5
Lattice="4.966 0.000 0.000 0.000 4.966 0.000 0.000 0.000 4.966" Properties=species:S:1:pos:R:3 pbc="T T T"
Sr 0.000 0.000 0.000
Hf 0.000 0.000 2.483
Hf 0.000 2.483 0.000
Hf 2.483 0.000 0.000
Rh 2.483 2.483 2.483
```

Computed properties:
**Total magnetization**: 0.00 Bohr magnetons per cell
**Volume**: 122 Å³/f.u.

--- two ---
The following is a DFT calculation (PBE) of a relaxed SrHf3Rh crystal.

Cell and atoms, written as extended XYZ:
```
5
Lattice="5.125 0.000 0.000 0.000 5.125 0.000 0.000 0.000 5.125" Properties=species:S:1:pos:R:3 pbc="T T T"
Sr 0.000 0.000 0.000
Hf 0.000 2.562 2.562
Hf 2.562 0.000 2.562
Hf 2.562 2.562 0.000
Rh 2.562 2.562 2.562
```

Computed properties:
**Total magnetization**: 0.00 Bohr magnetons per cell
**Volume**: 135 Å³/f.u.

Most stable structure, least stable structure: two, one.

--- one ---
The following is a DFT calculation (PBE) of a relaxed Hf3TaRh crystal.

Cell and atoms, written as extended XYZ:
```
5
Lattice="4.903 0.000 0.000 0.000 4.903 0.000 0.000 0.000 4.903" Properties=species:S:1:pos:R:3 pbc="T T T"
Hf 0.000 0.000 2.452
Hf 0.000 2.452 0.000
Hf 2.452 0.000 0.000
Ta 2.452 2.452 2.452
Rh 0.000 0.000 0.000
```

Computed properties:
**Total magnetization**: 0.00 Bohr magnetons per cell
**Volume**: 118 Å³/f.u.

--- two ---
The following is a DFT calculation (PBE) of a relaxed Hf3TaRh crystal.

Cell and atoms, written as extended XYZ:
```
5
Lattice="4.990 0.000 0.000 0.000 4.990 0.000 0.000 0.000 4.990" Properties=species:S:1:pos:R:3 pbc="T T T"
Hf 0.000 0.000 2.495
Hf 0.000 2.495 0.000
Hf 2.495 0.000 0.000
Ta 0.000 0.000 0.000
Rh 2.495 2.495 2.495
```

Computed properties:
**Total magnetization**: 0.00 Bohr magnetons per cell
**Volume**: 124 Å³/f.u.

Most stable structure, least stable structure: one, two.

--- one ---
The following is a DFT calculation (PBE) of a relaxed HfTa3Rh crystal.

Cell and atoms, written as extended XYZ:
```
5
Lattice="4.830 0.000 0.000 0.000 4.830 0.000 0.000 0.000 4.830" Properties=species:S:1:pos:R:3 pbc="T T T"
Hf 0.000 0.000 0.000
Ta 0.000 0.000 2.415
Ta 0.000 2.415 0.000
Ta 2.415 0.000 0.000
Rh 2.415 2.415 2.415
```

Computed properties:
**Total magnetization**: 0.00 Bohr magnetons per cell
**Volume**: 113 Å³/f.u.

--- two ---
The following is a DFT calculation (PBE) of a relaxed HfTa3Rh crystal.

Cell and atoms, written as extended XYZ:
```
5
Lattice="4.809 0.000 0.000 0.000 4.809 0.000 0.000 0.000 4.809" Properties=species:S:1:pos:R:3 pbc="T T T"
Hf 0.000 0.000 0.000
Ta 0.000 2.404 2.404
Ta 2.404 0.000 2.404
Ta 2.404 2.404 0.000
Rh 2.404 2.404 2.404
```

Computed properties:
**Total magnetization**: 0.00 Bohr magnetons per cell
**Volume**: 111 Å³/f.u.

Most stable structure, least stable structure: two, one.

--- one ---
The following is a DFT calculation (PBE) of a relaxed HfTaRh crystal.

Cell and atoms, written as extended XYZ:
```
12
Lattice="5.770 0.000 0.000 0.000 5.383 0.000 -3.192 0.000 7.314" Properties=species:S:1:pos:R:3 pbc="T T T"
Hf -0.080 0.568 2.801
Hf -1.676 2.123 6.458
Hf 4.255 3.260 0.855
Hf 2.659 4.814 4.512
Ta 1.483 3.222 2.118
Ta -0.113 4.852 5.775
Ta 2.691 0.531 1.539
Ta 1.096 2.161 5.196
Rh -0.552 3.429 3.694
Rh 1.043 4.645 0.037
Rh 1.535 0.738 7.277
Rh 3.131 1.953 3.620
```

Computed properties:
**Total magnetization**: 0.00 Bohr magnetons per cell
**Volume**: 57 Å³/f.u.

--- two ---
The following is a DFT calculation (PBE) of a relaxed HfTaRh crystal.

Cell and atoms, written as extended XYZ:
```
3
Lattice="-1.613 1.613 5.149 1.613 -1.613 5.149 1.613 1.613 -5.149" Properties=species:S:1:pos:R:3 pbc="T T T"
Hf 0.000 0.000 0.000
Ta 0.000 0.000 7.033
Rh 0.000 0.000 3.451
```

Computed properties:
**Total magnetization**: 0.00 Bohr magnetons per cell
**Volume**: 54 Å³/f.u.

Most stable structure, least stable structure: two, one.

--- one ---
The following is a DFT calculation (PBE) of a relaxed Hf4TcRh crystal.

Cell and atoms, written as extended XYZ:
```
6
Lattice="2.260 1.305 7.397 -2.260 1.305 7.397 0.000 -2.609 7.397" Properties=species:S:1:pos:R:3 pbc="T T T"
Hf 0.000 0.000 2.753
Hf 0.000 0.000 8.294
Hf 0.000 0.000 13.897
Hf 0.000 0.000 19.439
Tc 0.000 0.000 0.000
Rh 0.000 0.000 11.096
```

Computed properties:
**Total magnetization**: 0.00 Bohr magnetons per cell
**Volume**: 131 Å³/f.u.

--- two ---
The following is a DFT calculation (PBE) of a relaxed Hf4TcRh crystal.

Cell and atoms, written as extended XYZ:
```
6
Lattice="3.302 0.000 0.000 0.000 3.302 0.000 0.000 0.000 10.367" Properties=species:S:1:pos:R:3 pbc="T T T"
Hf 0.000 0.000 1.567
Hf 0.000 0.000 8.800
Hf 1.651 1.651 3.587
Hf 1.651 1.651 6.780
Tc 1.651 1.651 0.000
Rh 0.000 0.000 5.184
```

Computed properties:
**Total magnetization**: 0.00 Bohr magnetons per cell
**Volume**: 113 Å³/f.u.

Most stable structure, least stable structure: two, one.

--- one ---
The following is a DFT calculation (PBE) of a relaxed HfTcRh2 crystal.

Cell and atoms, written as extended XYZ:
```
4
Lattice="0.000 3.193 3.193 3.193 0.000 3.193 3.193 3.193 0.000" Properties=species:S:1:pos:R:3 pbc="T T T"
Hf 0.000 0.000 0.000
Tc 3.193 3.193 3.193
Rh 1.596 1.596 1.596
Rh 4.789 4.789 4.789
```

Computed properties:
**Total magnetization**: 3.04 Bohr magnetons per cell
**Volume**: 65 Å³/f.u.

--- two ---
The following is a DFT calculation (PBE) of a relaxed HfTcRh2 crystal.

Cell and atoms, written as extended XYZ:
```
4
Lattice="4.004 0.000 0.000 0.000 4.004 0.000 0.000 0.000 3.892" Properties=species:S:1:pos:R:3 pbc="T T T"
Hf 0.000 0.000 0.000
Tc 2.002 2.002 0.000
Rh 0.000 2.002 1.946
Rh 2.002 0.000 1.946
```

Computed properties:
**Total magnetization**: 0.00 Bohr magnetons per cell
**Volume**: 62 Å³/f.u.

Most stable structure, least stable structure: two, one.